[1]
BaNa2Si2 SCAN single point on PBEsol structure; crystal system = tetragonal; total moment = 0.000 μB per atom; final energy = -68.85 eV/f.u.; volume = 138 Å³/cell; energy relative to the elements, uncorrected = -0.17 eV per atom
1.0
-2.344 2.344 6.303
2.344 -2.344 6.303
2.344 2.344 -6.303
Ba Na Si
1 2 2
Direct
0.000 0.000 0.000 Ba
0.250 0.750 0.500 Na
0.750 0.250 0.500 Na
0.410 0.410 0.000 Si
0.590 0.590 0.000 Si

[2]
CaNb2Cr SCAN single point on PBEsol structure; crystal system = cubic; total moment = 0.040 μB per atom; ΔE_f = 0.8151 eV per atom; final energy = -91.05 eV/f.u.; volume = 69 Å³/cell
1.0
0.000 3.258 3.258
3.258 0.000 3.258
3.258 3.258 0.000
Ca Nb Cr
1 2 1
Direct
0.000 0.000 0.000 Ca
0.250 0.250 0.250 Nb
0.750 0.750 0.750 Nb
0.500 0.500 0.500 Cr

[3]
Ta3AsSe SCAN single point on PBEsol structure; crystal system = cubic; total moment = 0.000 μB per atom; final energy = -234.12 eV/f.u.; volume = 102 Å³/cell; energy relative to the elements, uncorrected = 1.18 eV per atom
1.0
4.677 0.000 0.000
0.000 4.677 0.000
0.000 0.000 4.677
Ta As Se
3 1 1
Direct
0.000 0.000 0.500 Ta
0.000 0.500 0.000 Ta
0.500 0.000 0.000 Ta
0.500 0.500 0.500 As
0.000 0.000 0.000 Se

[4]
LiTl2Os SCAN single point on PBEsol structure; crystal system = tetragonal; total moment = 0.000 μB per atom; ΔE_f = 0.5491 eV per atom; final energy = -216.79 eV/f.u.; volume = 74 Å³/cell
1.0
3.593 0.000 0.000
0.000 3.593 0.000
0.000 0.000 5.758
Li Tl Os
1 2 1
Direct
0.000 0.000 0.000 Li
0.000 0.000 0.442 Tl
0.500 0.500 0.767 Tl
0.500 0.500 0.238 Os

[5]
InHRh3 SCAN single point on PBEsol structure; crystal system = cubic; total moment = 0.000 μB per atom; final energy = -139.18 eV/f.u.; volume = 61 Å³/cell
1.0
3.943 0.000 0.000
0.000 3.943 0.000
0.000 0.000 3.943
In H Rh
1 1 3
Direct
0.000 0.000 0.000 In
0.500 0.500 0.500 H
0.000 0.500 0.500 Rh
0.500 0.000 0.500 Rh
0.500 0.500 0.000 Rh

[6]
Y2Mo3O12 SCAN single point on PBEsol structure; crystal system = tetragonal; total moment = 0.000 μB per atom; final energy = -281.83 eV/f.u.; volume = 566 Å³/cell; energy relative to the elements, uncorrected = -2.75 eV per atom
1.0
7.330 0.000 0.000
0.000 7.330 0.000
0.000 0.000 10.538
Y Mo O
4 6 24
Direct
0.186 0.314 0.238 Y
0.314 0.814 0.762 Y
0.686 0.186 0.762 Y
0.814 0.686 0.238 Y
0.000 0.000 0.500 Mo
0.207 0.293 0.856 Mo
0.293 0.793 0.144 Mo
0.500 0.500 0.500 Mo
0.707 0.207 0.144 Mo
0.793 0.707 0.856 Mo
0.006 0.775 0.797 O
0.044 0.190 0.403 O
0.126 0.626 0.191 O
0.190 0.956 0.597 O
0.195 0.305 0.021 O
0.225 0.006 0.203 O
0.275 0.506 0.797 O
0.305 0.805 0.979 O
0.310 0.456 0.403 O
0.374 0.126 0.809 O
0.456 0.690 0.597 O
0.494 0.275 0.203 O
0.506 0.725 0.203 O
0.544 0.310 0.597 O
0.626 0.874 0.809 O
0.690 0.544 0.403 O
0.695 0.195 0.979 O
0.725 0.494 0.797 O
0.775 0.994 0.203 O
0.805 0.695 0.021 O
0.810 0.044 0.597 O
0.874 0.374 0.191 O
0.956 0.810 0.403 O
0.994 0.225 0.797 O

[7]
HfMgPO2 SCAN single point on PBEsol structure; crystal system = tetragonal; total moment = 0.000 μB per atom; final energy = -95.48 eV/f.u.; volume = 68 Å³/cell; energy relative to the elements, uncorrected = -0.99 eV per atom
1.0
3.767 0.000 0.000
0.000 3.767 0.000
0.000 0.000 4.761
Hf Mg P O
1 1 1 2
Direct
0.000 0.000 0.000 Hf
0.500 0.500 0.500 Mg
0.500 0.500 0.000 P
0.000 0.500 0.500 O
0.500 0.000 0.500 O

[8]
Al3Cu4 SCAN single point on PBEsol structure; crystal system = tetragonal; total moment = 0.000 μB per atom; ΔE_f = -0.2524 eV per atom; final energy = -85.82 eV/f.u.; volume = 89 Å³/cell
1.0
-1.552 1.552 9.256
1.552 -1.552 9.256
1.552 1.552 -9.256
Al Cu
3 4
Direct
0.000 0.000 0.000 Al
0.293 0.293 0.000 Al
0.707 0.707 0.000 Al
0.142 0.142 0.000 Cu
0.429 0.429 0.000 Cu
0.571 0.571 0.000 Cu
0.858 0.858 0.000 Cu

[9]
BaCaIN2 SCAN single point on PBEsol structure; crystal system = tetragonal; total moment = 0.600 μB per atom; final energy = -104.17 eV/f.u.; volume = 129 Å³/cell; energy relative to the elements, uncorrected = 0.07 eV per atom
1.0
4.750 0.000 0.000
0.000 4.750 0.000
0.000 0.000 5.738
Ba Ca I N
1 1 1 2
Direct
0.000 0.000 0.000 Ba
0.500 0.500 0.500 Ca
0.500 0.500 0.000 I
0.000 0.500 0.500 N
0.500 0.000 0.500 N

[10]
LiZrZn SCAN single point on PBEsol structure; crystal system = cubic; total moment = 0.000 μB per atom; ΔE_f = 0.6440 eV per atom; final energy = -44.67 eV/f.u.; volume = 61 Å³/cell
1.0
0.000 3.123 3.123
3.123 0.000 3.123
3.123 3.123 0.000
Li Zr Zn
1 1 1
Direct
0.000 0.000 0.000 Li
0.250 0.250 0.250 Zr
0.500 0.500 0.500 Zn

[11]
Rb2CuC2O7 SCAN single point on PBEsol structure; crystal system = monoclinic; total moment = 0.162 μB per atom; final energy = -136.22 eV/f.u.; volume = 748 Å³/cell; energy relative to the elements, uncorrected = -1.31 eV per atom
1.0
8.173 0.000 0.000
0.000 14.328 0.000
-0.073 0.000 6.387
Rb Cu C O
8 4 8 28
Direct
0.099 0.110 0.221 Rb
0.099 0.390 0.721 Rb
0.389 0.103 0.743 Rb
0.389 0.397 0.243 Rb
0.611 0.603 0.757 Rb
0.611 0.897 0.257 Rb
0.901 0.610 0.279 Rb
0.901 0.890 0.779 Rb
0.247 0.733 0.069 Cu
0.247 0.767 0.569 Cu
0.753 0.233 0.431 Cu
0.753 0.267 0.931 Cu
0.059 0.638 0.762 C
0.059 0.862 0.262 C
0.442 0.637 0.233 C
0.442 0.863 0.733 C
0.558 0.137 0.267 C
0.558 0.363 0.767 C
0.941 0.138 0.738 C
0.941 0.362 0.238 C
0.041 0.071 0.740 O
0.041 0.429 0.240 O
0.058 0.701 0.912 O
0.058 0.799 0.412 O
0.166 0.646 0.611 O
0.166 0.854 0.111 O
0.251 0.246 0.483 O
0.251 0.254 0.983 O
0.348 0.612 0.074 O
0.348 0.888 0.574 O
0.412 0.725 0.287 O
0.412 0.775 0.787 O
0.457 0.085 0.181 O
0.457 0.415 0.681 O
0.543 0.585 0.319 O
0.543 0.915 0.819 O
0.588 0.225 0.213 O
0.588 0.275 0.713 O
0.652 0.112 0.426 O
0.652 0.388 0.926 O
0.749 0.746 0.017 O
0.749 0.754 0.517 O
0.834 0.146 0.889 O
0.834 0.354 0.389 O
0.942 0.201 0.588 O
0.942 0.299 0.088 O
0.959 0.571 0.760 O
0.959 0.929 0.260 O

[12]
Sc2TaBr SCAN single point on PBEsol structure; crystal system = orthorhombic; total moment = 0.000 μB per atom; final energy = -113.61 eV/f.u.; volume = 81 Å³/cell; energy relative to the elements, uncorrected = 0.23 eV per atom
1.0
-1.593 2.721 4.676
1.593 -2.721 4.676
1.593 2.721 -4.676
Sc Ta Br
2 1 1
Direct
0.237 0.237 0.000 Sc
0.763 0.763 0.000 Sc
0.500 0.000 0.500 Ta
0.000 0.500 0.500 Br

[13]
ZrMnPt2 SCAN single point on PBEsol structure; crystal system = tetragonal; total moment = 0.993 μB per atom; ΔE_f = -0.8491 eV per atom; final energy = -192.74 eV/f.u.; volume = 66 Å³/cell
1.0
3.447 0.000 0.000
0.000 3.447 0.000
0.000 0.000 5.539
Zr Mn Pt
1 1 2
Direct
0.000 0.000 0.000 Zr
0.500 0.500 0.302 Mn
0.000 0.000 0.486 Pt
0.500 0.500 0.779 Pt

[14]
Cd2AgIr SCAN single point on PBEsol structure; crystal system = tetragonal; total moment = 0.000 μB per atom; ΔE_f = 0.2524 eV per atom; final energy = -162.29 eV/f.u.; volume = 69 Å³/cell
1.0
2.920 0.000 0.000
0.000 2.920 0.000
0.000 0.000 8.118
Cd Ag Ir
2 1 1
Direct
0.000 0.000 0.000 Cd
0.500 0.500 0.287 Cd
0.500 0.500 0.750 Ag
0.000 0.000 0.519 Ir

[15]
Ba2CuRe SCAN single point on PBEsol structure; crystal system = tetragonal; total moment = 0.001 μB per atom; ΔE_f = 1.0762 eV per atom; final energy = -161.09 eV/f.u.; volume = 105 Å³/cell
1.0
5.784 0.000 0.000
0.000 5.784 0.000
0.000 0.000 3.150
Ba Cu Re
2 1 1
Direct
0.000 0.500 0.000 Ba
0.500 0.000 0.000 Ba
0.000 0.000 0.500 Cu
0.500 0.500 0.500 Re

[16]
Sm2Ga3Fe14C2 SCAN single point on PBEsol structure; crystal system = monoclinic; total moment = 1.472 μB per atom; ΔE_f = -0.1196 eV per atom; final energy = -414.45 eV/f.u.; volume = 258 Å³/cell
1.0
4.795 -4.253 0.000
4.795 4.253 0.000
-0.946 0.000 6.334
Sm Ga Fe C
2 3 14 2
Direct
0.150 0.150 0.333 Sm
0.850 0.850 0.667 Sm
0.000 0.500 0.000 Ga
0.500 0.000 0.000 Ga
0.500 0.500 0.500 Ga
0.152 0.650 0.344 Fe
0.156 0.156 0.846 Fe
0.214 0.786 0.000 Fe
0.216 0.500 0.715 Fe
0.350 0.848 0.656 Fe
0.408 0.408 0.095 Fe
0.500 0.216 0.715 Fe
0.500 0.784 0.285 Fe
0.592 0.592 0.905 Fe
0.650 0.152 0.344 Fe
0.784 0.500 0.285 Fe
0.786 0.214 0.000 Fe
0.844 0.844 0.154 Fe
0.848 0.350 0.656 Fe
0.000 0.500 0.500 C
0.500 0.000 0.500 C

[17]
BiRuNCl2 SCAN single point on PBEsol structure; crystal system = tetragonal; total moment = 0.472 μB per atom; final energy = -134.04 eV/f.u.; volume = 112 Å³/cell; energy relative to the elements, uncorrected = 0.92 eV per atom
1.0
4.425 0.000 0.000
0.000 4.425 0.000
0.000 0.000 5.695
Bi Ru N Cl
1 1 1 2
Direct
0.000 0.000 0.000 Bi
0.000 0.000 0.500 Ru
0.500 0.500 0.000 N
0.000 0.500 0.500 Cl
0.500 0.000 0.500 Cl

[18]
Na2AgHRu SCAN single point on PBEsol structure; crystal system = tetragonal; total moment = 0.322 μB per atom; final energy = -74.79 eV/f.u.; volume = 96 Å³/cell
1.0
5.492 0.000 0.000
0.000 5.492 0.000
0.000 0.000 3.186
Na Ag H Ru
2 1 1 1
Direct
0.000 0.500 0.000 Na
0.500 0.000 0.000 Na
0.000 0.000 0.500 Ag
0.500 0.500 0.500 H
0.500 0.500 0.000 Ru

[19]
K2LiSe SCAN single point on PBEsol structure; crystal system = monoclinic; total moment = 0.193 μB per atom; final energy = -41.50 eV/f.u.; volume = 129 Å³/cell; energy relative to the elements, uncorrected = -0.59 eV per atom
1.0
4.309 0.000 0.000
0.000 4.309 0.000
-0.009 0.000 6.971
K Li Se
2 1 1
Direct
0.001 0.000 0.206 K
0.999 0.000 0.794 K
0.500 0.500 0.500 Li
0.500 0.500 0.000 Se

[20]
MnAlFe2C SCAN single point on PBEsol structure; crystal system = tetragonal; total moment = 0.833 μB per atom; ΔE_f = -0.1362 eV per atom; final energy = -73.05 eV/f.u.; volume = 51 Å³/cell
1.0
3.714 0.000 0.000
0.000 3.714 0.000
0.000 0.000 3.730
Mn Al Fe C
1 1 2 1
Direct
0.000 0.000 0.000 Mn
0.500 0.500 0.000 Al
0.000 0.500 0.500 Fe
0.500 0.000 0.500 Fe
0.000 0.000 0.500 C

[21]
TbHoRh2 SCAN single point on PBEsol structure; crystal system = cubic; total moment = 0.000 μB per atom; ΔE_f = -0.9976 eV per atom; final energy = -167.28 eV/f.u.; volume = 76 Å³/cell
1.0
0.000 3.369 3.369
3.369 0.000 3.369
3.369 3.369 0.000
Tb Ho Rh
1 1 2
Direct
0.000 0.000 0.000 Tb
0.500 0.500 0.500 Ho
0.250 0.250 0.250 Rh
0.750 0.750 0.750 Rh

[22]
Fe3SiF SCAN single point on PBEsol structure; crystal system = cubic; total moment = 1.772 μB per atom; final energy = -67.26 eV/f.u.; volume = 61 Å³/cell; energy relative to the elements, uncorrected = 0.14 eV per atom
1.0
3.935 0.000 0.000
0.000 3.935 0.000
0.000 0.000 3.935
Fe Si F
3 1 1
Direct
0.000 0.000 0.500 Fe
0.000 0.500 0.000 Fe
0.500 0.000 0.000 Fe
0.500 0.500 0.500 Si
0.000 0.000 0.000 F

[23]
ZnIn5 SCAN single point on PBEsol structure; crystal system = monoclinic; total moment = 0.000 μB per atom; ΔE_f = 0.1232 eV per atom; final energy = -179.71 eV/f.u.; volume = 142 Å³/cell
1.0
6.256 -1.647 0.000
6.256 1.647 0.000
-2.049 0.000 6.899
Zn In
1 5
Direct
0.000 0.000 0.000 Zn
0.332 0.332 0.683 In
0.347 0.347 0.140 In
0.647 0.647 0.846 In
0.670 0.670 0.311 In
0.999 0.999 0.491 In

[24]
KBaAsSe2 SCAN single point on PBEsol structure; crystal system = tetragonal; total moment = 0.777 μB per atom; final energy = -109.42 eV/f.u.; volume = 223 Å³/cell; energy relative to the elements, uncorrected = -0.24 eV per atom
1.0
6.052 0.000 0.000
0.000 6.052 0.000
0.000 0.000 6.085
K Ba As Se
1 1 1 2
Direct
0.000 0.000 0.000 K
0.500 0.500 0.500 Ba
0.500 0.500 0.000 As
0.000 0.500 0.500 Se
0.500 0.000 0.500 Se

no.,DOS(E_F) (states/eV/f.u.),calculated density (g/cm³)
1,1.70,2.87
2,4.98,6.67
3,4.45,11.30
4,1.92,13.54
5,3.67,11.50
6,0.00,3.86
7,3.20,6.53
8,1.37,6.24
9,4.49,4.26
10,2.25,4.46
11,3.72,3.29
12,4.91,7.18
13,2.09,13.53
14,3.16,12.59
15,3.71,8.26
16,13.91,8.46
17,2.44,5.88
18,1.84,4.42
19,0.83,2.11
20,2.44,6.64
21,1.84,11.50
22,2.29,5.85
23,2.42,7.47
24,3.56,3.05